An optimized crystal structure of CuSiNO2, computed with PBE-GGA.

Cell lengths 3.701, 3.701, 3.800 Å; angles 90.00, 90.00, 90.00 degrees
Atoms (fractional coordinates):
1 Cu 0.000 0.000 0.000
2 Si 0.500 0.500 0.500
3 N 0.000 0.000 0.500
4 O 0.000 0.500 0.000
5 O 0.500 0.000 0.000

Properties
Volume   10.41 Å³ per atom
Raw formation energy   0.7176 eV/atom
DOS at the Fermi energy   0.65 states/eV/atom
Total DFT energy (no corrections)   -4.835 eV per atom


An optimized crystal structure of YMg2InO, computed with PBE-GGA.

Cell lengths 5.711, 5.711, 4.083 Å; angles 90.00, 90.00, 90.00 degrees
Atoms (fractional coordinates):
1 Y 0.000 0.000 0.000
2 Mg 0.000 0.500 0.500
3 Mg 0.500 0.000 0.500
4 In 0.500 0.500 0.500
5 O 0.500 0.500 0.000

Properties
Volume   26.64 Å³ per atom
Distance to the lowest polymorph of the same formula   1273 meV/atom
Raw formation energy   0.0966 eV/atom
DOS at the Fermi energy   0.64 states/eV/atom
Total DFT energy (no corrections)   -3.373 eV per atom


An optimized crystal structure of Cs2HoHgBr6, computed with PBE-GGA.

Cell lengths 8.293, 11.711, 8.296 Å; angles 90.00, 90.00, 90.00 degrees
Atoms (fractional coordinates):
1 Cs 0.250 0.000 0.249
2 Cs 0.250 0.500 0.249
3 Cs 0.750 0.000 0.751
4 Cs 0.750 0.500 0.751
5 Ho 0.250 0.250 0.752
6 Ho 0.750 0.750 0.248
7 Hg 0.250 0.750 0.748
8 Hg 0.750 0.250 0.252
9 Br 0.012 0.250 0.515
10 Br 0.013 0.250 0.989
11 Br 0.250 0.012 0.752
12 Br 0.250 0.488 0.752
13 Br 0.487 0.250 0.989
14 Br 0.488 0.250 0.515
15 Br 0.512 0.750 0.485
16 Br 0.513 0.750 0.011
17 Br 0.750 0.512 0.248
18 Br 0.750 0.988 0.248
19 Br 0.987 0.750 0.011
20 Br 0.988 0.750 0.485

Properties
Volume   40.29 Å³ per atom
Raw formation energy   -1.5015 eV/atom
DOS at the Fermi energy   0.43 states/eV/atom
Total DFT energy (no corrections)   -3.164 eV per atom


An optimized crystal structure of LiAgF4, computed with PBE-GGA.

Cell lengths 5.513, 7.999, 7.945 Å; angles 90.00, 109.04, 90.00 degrees
Atoms (fractional coordinates):
1 Li 0.068 0.250 0.193
2 Li 0.070 0.250 0.591
3 Li 0.930 0.750 0.409
4 Li 0.932 0.750 0.807
5 Ag 0.500 0.000 0.000
6 Ag 0.500 0.000 0.500
7 Ag 0.500 0.500 0.000
8 Ag 0.500 0.500 0.500
9 F 0.142 0.092 0.408
10 F 0.142 0.408 0.408
11 F 0.237 0.070 0.100
12 F 0.237 0.430 0.100
13 F 0.300 0.750 0.929
14 F 0.304 0.078 0.758
15 F 0.304 0.422 0.758
16 F 0.341 0.750 0.476
17 F 0.659 0.250 0.524
18 F 0.696 0.578 0.242
19 F 0.696 0.922 0.242
20 F 0.700 0.250 0.071
21 F 0.763 0.570 0.900
22 F 0.763 0.930 0.900
23 F 0.858 0.592 0.592
24 F 0.858 0.908 0.592

Properties
Volume   13.80 Å³ per atom
Distance to the lowest polymorph of the same formula   86 meV/atom
Raw formation energy   -1.6112 eV/atom
DOS at the Fermi energy   0.28 states/eV/atom
Total DFT energy (no corrections)   -3.653 eV per atom


An optimized crystal structure of AcHF14, computed with PBE-GGA.

Cell lengths 4.894, 7.077, 7.437 Å; angles 72.25, 87.56, 88.63 degrees
Atoms (fractional coordinates):
1 Ac 0.000 0.000 0.000
2 H 0.980 0.521 0.937
3 F 0.025 0.282 0.650
4 F 0.322 0.824 0.724
5 F 0.362 0.597 0.473
6 F 0.466 0.283 0.247
7 F 0.485 0.484 0.129
8 F 0.492 0.884 0.103
9 F 0.507 0.128 0.884
10 F 0.546 0.921 0.596
11 F 0.587 0.483 0.572
12 F 0.920 0.024 0.321
13 F 0.962 0.693 0.921
14 F 0.988 0.748 0.319
15 F 0.997 0.167 0.513
16 F 0.998 0.360 0.954

Properties
Volume   15.32 Å³ per atom
Total DFT energy (no corrections)   -3.269 eV per atom


An optimized crystal structure of AlPRu, computed with PBE-GGA.

Cell lengths 4.032, 4.032, 3.028 Å; angles 90.00, 90.00, 120.00 degrees
Atoms (fractional coordinates):
1 Al 0.000 0.000 0.000
2 P 0.667 0.333 0.500
3 Ru 0.333 0.667 0.500

Properties
Volume   14.21 Å³ per atom
DOS at the Fermi energy   0.95 states/eV/atom
Total DFT energy (no corrections)   -6.414 eV per atom
Energy of formation from the pure elements   -0.271 eV per atom


An optimized crystal structure of BeAg2Mo, computed with PBE-GGA.

Cell lengths 4.756, 4.756, 2.786 Å; angles 90.00, 90.00, 90.00 degrees
Atoms (fractional coordinates):
1 Be 0.000 0.000 0.000
2 Ag 0.000 0.500 0.500
3 Ag 0.500 0.000 0.500
4 Mo 0.500 0.500 0.000

Properties
Volume   15.76 Å³ per atom
DOS at the Fermi energy   0.60 states/eV/atom
Total DFT energy (no corrections)   -4.345 eV per atom
Energy of formation from the pure elements   0.720 eV per atom


An optimized crystal structure of LaHoTlPb, computed with PBE-GGA.

Cell lengths 5.526, 5.526, 5.526 Å; angles 60.00, 60.00, 60.00 degrees
Atoms (fractional coordinates):
1 La 0.000 0.000 0.000
2 Ho 0.500 0.500 0.500
3 Tl 0.750 0.750 0.750
4 Pb 0.250 0.250 0.250

Properties
Volume   29.83 Å³ per atom
Distance to the lowest polymorph of the same formula   19 meV/atom
DOS at the Fermi energy   0.66 states/eV/atom
Total DFT energy (no corrections)   -4.310 eV per atom
Energy of formation from the pure elements   -0.415 eV per atom


An optimized crystal structure of Re2MoP, computed with PBE-GGA.

Cell lengths 2.815, 4.110, 5.203 Å; angles 90.00, 102.84, 90.00 degrees
Atoms (fractional coordinates):
1 Re 0.168 0.000 0.264
2 Re 0.832 0.000 0.736
3 Mo 0.500 0.500 0.000
4 P 0.500 0.500 0.500

Properties
Volume   14.67 Å³ per atom
DOS at the Fermi energy   0.84 states/eV/atom
Total DFT energy (no corrections)   -10.161 eV per atom
Energy of formation from the pure elements   0.123 eV per atom


An optimized crystal structure of ReSnNF2, computed with PBE-GGA.

Cell lengths 4.396, 4.396, 3.828 Å; angles 90.00, 90.00, 90.00 degrees
Atoms (fractional coordinates):
1 Re 0.000 0.000 0.000
2 Sn 0.500 0.500 0.500
3 N 0.000 0.000 0.500
4 F 0.000 0.500 0.000
5 F 0.500 0.000 0.000

Properties
Volume   14.79 Å³ per atom
Distance to the lowest polymorph of the same formula   0 meV/atom
Raw formation energy   -0.4613 eV/atom
DOS at the Fermi energy   0.67 states/eV/atom
Total DFT energy (no corrections)   -6.165 eV per atom


An optimized crystal structure of Pm3Nd3Er, computed with PBE-GGA.

Cell lengths 8.978, 8.978, 8.978 Å; angles 58.56, 58.56, 58.56 degrees
Atoms (fractional coordinates):
1 Pm 0.067 0.569 0.221
2 Pm 0.221 0.067 0.569
3 Pm 0.431 0.779 0.933
4 Pm 0.569 0.221 0.067
5 Pm 0.779 0.933 0.431
6 Pm 0.933 0.431 0.779
7 Nd 0.205 0.682 0.438
8 Nd 0.318 0.562 0.795
9 Nd 0.438 0.205 0.682
10 Nd 0.562 0.795 0.318
11 Nd 0.682 0.438 0.205
12 Nd 0.795 0.318 0.562
13 Er 0.155 0.155 0.155
14 Er 0.845 0.845 0.845

Properties
Volume   35.35 Å³ per atom
Distance to the lowest polymorph of the same formula   195 meV/atom
DOS at the Fermi energy   1.44 states/eV/atom
Total DFT energy (no corrections)   -4.511 eV per atom
Energy of formation from the pure elements   0.220 eV per atom


An optimized crystal structure of TmMgTc4, computed with PBE-GGA.

Cell lengths 5.291, 5.291, 5.291 Å; angles 60.00, 60.00, 60.00 degrees
Atoms (fractional coordinates):
1 Tm 0.000 0.000 0.000
2 Mg 0.750 0.750 0.750
3 Tc 0.375 0.375 0.375
4 Tc 0.375 0.375 0.874
5 Tc 0.375 0.874 0.375
6 Tc 0.874 0.375 0.375

Properties
Volume   17.45 Å³ per atom
DOS at the Fermi energy   0.70 states/eV/atom
Total DFT energy (no corrections)   -7.959 eV per atom
Energy of formation from the pure elements   -0.038 eV per atom